Compound: CrCu2Re
Source: Alexandria via LeMat-Bulk
Functional: meta-GGA SCAN
Structure: PBEsol geometry

Cell lengths 5.8589, 5.8589, 5.8589 Å; angles 90.00, 90.00, 90.00 degrees
Closest atoms and distances in Å follow each position.
Fractional coordinates of all 16 atoms:
Cr 0.0000 0.0000 0.0000  8 Cu 2.54
Cr 0.0000 0.5000 0.5000  8 Cu 2.54
Cr 0.5000 0.0000 0.5000  8 Cu 2.54
Cr 0.5000 0.5000 0.0000  8 Cu 2.54
Cu 0.2500 0.2500 0.2500  4 Cr 2.54, 4 Re 2.54
Cu 0.2500 0.2500 0.7500  4 Cr 2.54, 4 Re 2.54
Cu 0.2500 0.7500 0.2500  4 Cr 2.54, 4 Re 2.54
Cu 0.2500 0.7500 0.7500  4 Cr 2.54, 4 Re 2.54
Cu 0.7500 0.2500 0.2500  4 Cr 2.54, 4 Re 2.54
Cu 0.7500 0.2500 0.7500  4 Cr 2.54, 4 Re 2.54
Cu 0.7500 0.7500 0.2500  4 Cr 2.54, 4 Re 2.54
Cu 0.7500 0.7500 0.7500  4 Re 2.54, 4 Cr 2.54
Re 0.0000 0.0000 0.5000  8 Cu 2.54
Re 0.0000 0.5000 0.0000  8 Cu 2.54
Re 0.5000 0.0000 0.0000  8 Cu 2.54
Re 0.5000 0.5000 0.5000  8 Cu 2.54

The value obtained for the relative energy among the computed polymorphs is 0.69 eV per formula unit. Its formation energy is 425.1 meV per atom.


Compound: Cr2CuRe
Source: Alexandria via LeMat-Bulk
Functional: meta-GGA SCAN
Structure: PBEsol geometry

Cell lengths 2.4996, 4.0660, 4.9068 Å; angles 90.00, 101.39, 90.00 degrees
Closest atoms and distances in Å follow each position.
Fractional coordinates of all 4 atoms:
Cr 0.0000 0.0000 0.0000  4 Cr 2.43-2.50, 2 Cu 2.47, 2 Re 2.51-2.54
Cr 0.2195 0.5000 0.7736  4 Cr 2.43-2.50, 2 Cu 2.54, 2 Re 2.57
Cu 0.8250 0.5000 0.2542  5 Cr 2.47-2.73, 2 Cu 2.50, 4 Re 2.61-2.75
Re 0.4810 0.0000 0.5062  2 Re 2.50, 4 Cr 2.51-2.57, 4 Cu 2.61-2.75

The value obtained for the relative energy among the computed polymorphs is 0.00 eV per formula unit. Its formation energy is 186.3 meV per atom.


Compound: Cr2CuRh
Source: Alexandria via LeMat-Bulk
Functional: meta-GGA SCAN
Structure: PBEsol geometry

Cell lengths 2.9182, 2.9182, 5.6700 Å; angles 90.00, 90.00, 90.00 degrees
Closest atoms and distances in Å follow each position.
Fractional coordinates of all 4 atoms:
Cr 0.0000 0.0000 0.0000  4 Cr 2.41, 4 Rh 2.56, 1 Cu 2.64
Cr 0.5000 0.5000 0.2204  4 Cr 2.41, 4 Cu 2.49
Cu 0.0000 0.0000 0.4651  5 Cr 2.49-2.64, 4 Rh 2.56
Rh 0.5000 0.5000 0.7324  4 Cu 2.56, 5 Cr 2.56-2.77

Its formation energy is 5.2 meV per atom.


Compound: CrCuRh2
Source: Alexandria via LeMat-Bulk
Functional: meta-GGA SCAN
Structure: PBEsol geometry

Cell lengths 5.3982, 6.8748, 2.7370 Å; angles 90.00, 90.00, 90.00 degrees
Closest atoms and distances in Å follow each position.
Fractional coordinates of all 8 atoms:
Cr 0.0000 0.0000 0.0000  8 Rh 2.58, 2 Cu 2.70, 2 Cr 2.74
Cr 0.5000 0.5000 0.0000  8 Rh 2.58, 2 Cu 2.70, 2 Cr 2.74
Cu 0.0000 0.5000 0.0000  8 Rh 2.58, 2 Cr 2.70, 2 Cu 2.74
Cu 0.5000 0.0000 0.0000  8 Rh 2.58, 2 Cr 2.70, 2 Cu 2.74
Rh 0.2500 0.2500 0.5000  4 Cr 2.58, 4 Cu 2.58, 4 Rh 2.70-2.74
Rh 0.2500 0.7500 0.5000  4 Cr 2.58, 4 Cu 2.58, 4 Rh 2.70-2.74
Rh 0.7500 0.2500 0.5000  4 Cr 2.58, 4 Cu 2.58, 4 Rh 2.70-2.74
Rh 0.7500 0.7500 0.5000  4 Cr 2.58, 4 Cu 2.58, 4 Rh 2.70-2.74

Its formation energy is -21.4 meV per atom.


Compound: CrCuRh2
Source: Alexandria via LeMat-Bulk
Functional: meta-GGA SCAN
Structure: PBEsol geometry

Cell lengths 8.4925, 2.6164, 4.5764 Å; angles 90.00, 100.40, 90.00 degrees
Closest atoms and distances in Å follow each position.
Fractional coordinates of all 8 atoms:
Cr 0.0000 0.0000 0.0000  6 Rh 2.54-2.61, 2 Cr 2.62, 4 Cu 2.64
Cr 0.5000 0.5000 0.0000  6 Rh 2.54-2.61, 2 Cr 2.62, 4 Cu 2.64
Cu 0.0000 0.5000 0.5000  6 Rh 2.56-2.61, 2 Cu 2.62, 4 Cr 2.64
Cu 0.5000 0.0000 0.5000  6 Rh 2.56-2.61, 2 Cu 2.62, 4 Cr 2.64
Rh 0.2454 0.5000 0.2460  3 Cr 2.54-2.61, 3 Cu 2.56-2.61, 6 Rh 2.62-2.66
Rh 0.2546 0.0000 0.7540  3 Cr 2.54-2.61, 3 Cu 2.56-2.61, 6 Rh 2.62-2.66
Rh 0.7454 0.0000 0.2460  3 Cr 2.54-2.61, 3 Cu 2.56-2.61, 6 Rh 2.62-2.66
Rh 0.7546 0.5000 0.7540  3 Cr 2.54-2.61, 3 Cu 2.56-2.61, 6 Rh 2.62-2.66

Its formation energy is -31.8 meV per atom.


Compound: CrCuRh2
Source: Alexandria via LeMat-Bulk
Functional: meta-GGA SCAN
Structure: PBEsol geometry

Cell lengths 2.6537, 3.5126, 5.3417 Å; angles 90.00, 90.00, 90.00 degrees
Closest atoms and distances in Å follow each position.
Fractional coordinates of all 4 atoms:
Cr 0.0000 0.0000 0.0000  8 Rh 2.57, 2 Cr 2.65, 2 Cu 2.67
Cu 0.0000 0.0000 0.5000  8 Rh 2.58, 2 Cu 2.65, 2 Cr 2.67
Rh 0.5000 0.5000 0.2472  4 Cr 2.57, 4 Cu 2.58, 4 Rh 2.64-2.70
Rh 0.5000 0.5000 0.7528  4 Cr 2.57, 4 Cu 2.58, 4 Rh 2.64-2.70

Its formation energy is -84.7 meV per atom.


Compound: CrCuRh2
Source: Alexandria via LeMat-Bulk
Functional: meta-GGA SCAN
Structure: PBEsol geometry

Cell lengths 2.6258, 2.6258, 25.1915 Å; angles 90.00, 90.00, 120.00 degrees
Closest atoms and distances in Å follow each position.
Fractional coordinates of all 12 atoms:
Cr 0.0000 0.0000 0.0000  6 Rh 2.53, 6 Cr 2.63
Cr 0.3333 0.6667 0.6667  6 Rh 2.53, 6 Cr 2.63
Cr 0.6667 0.3333 0.3333  6 Rh 2.53, 6 Cr 2.63
Cu 0.0000 0.0000 0.5000  6 Cu 2.63, 6 Rh 2.65
Cu 0.3333 0.6667 0.1667  6 Cu 2.63, 6 Rh 2.65
Cu 0.6667 0.3333 0.8333  6 Cu 2.63, 6 Rh 2.65
Rh 0.0000 0.0000 0.2530  3 Cr 2.53, 6 Rh 2.63, 3 Cu 2.65
Rh 0.0000 0.0000 0.7470  3 Cr 2.53, 6 Rh 2.63, 3 Cu 2.65
Rh 0.3333 0.6667 0.4137  3 Cr 2.53, 6 Rh 2.63, 3 Cu 2.65
Rh 0.3333 0.6667 0.9197  3 Cr 2.53, 6 Rh 2.63, 3 Cu 2.65
Rh 0.6667 0.3333 0.0803  3 Cr 2.53, 6 Rh 2.63, 3 Cu 2.65
Rh 0.6667 0.3333 0.5863  3 Cr 2.53, 6 Rh 2.63, 3 Cu 2.65

Its formation energy is -24.6 meV per atom.


Compound: Cr2CuRh
Source: Alexandria via LeMat-Bulk
Functional: meta-GGA SCAN
Structure: PBEsol geometry

Cell lengths 3.7180, 3.7180, 7.0548 Å; angles 90.00, 90.00, 90.00 degrees
Closest atoms and distances in Å follow each position.
Fractional coordinates of all 8 atoms:
Cr 0.0000 0.0000 0.0000  4 Cr 2.56, 4 Rh 2.56, 4 Cu 2.63
Cr 0.0000 0.5000 0.2500  4 Cr 2.56, 4 Cu 2.56, 4 Rh 2.63
Cr 0.5000 0.0000 0.7500  4 Cr 2.56, 4 Cu 2.56, 4 Rh 2.63
Cr 0.5000 0.5000 0.5000  4 Cr 2.56, 4 Rh 2.56, 4 Cu 2.63
Cu 0.0000 0.0000 0.5000  8 Cr 2.56-2.63, 4 Rh 2.56
Cu 0.5000 0.5000 0.0000  8 Cr 2.56-2.63, 4 Rh 2.56
Rh 0.0000 0.5000 0.7500  8 Cr 2.56-2.63, 4 Cu 2.56
Rh 0.5000 0.0000 0.2500  8 Cr 2.56-2.63, 4 Cu 2.56

Its formation energy is -8.2 meV per atom.


Compound: ScCrCu2Rh
Source: Alexandria via LeMat-Bulk
Functional: meta-GGA SCAN
Structure: PBEsol geometry

Cell lengths 4.5840, 4.5840, 4.4536 Å; angles 90.00, 90.00, 90.00 degrees
Closest atoms and distances in Å follow each position.
Fractional coordinates of all 5 atoms:
Sc 0.0000 0.0000 0.0000  2 Rh 2.23, 4 Cu 2.29
Cr 0.5000 0.5000 0.5000  8 Cu 3.20, 4 Rh 3.24
Cu 0.0000 0.5000 0.0000  2 Sc 2.29
Cu 0.5000 0.0000 0.0000  2 Sc 2.29
Rh 0.0000 0.0000 0.5000  2 Sc 2.23

Its formation energy is 1018.0 meV per atom.


Compound: CrCu2Ru
Source: Alexandria via LeMat-Bulk
Functional: meta-GGA SCAN
Structure: PBEsol geometry

Cell lengths 5.8364, 5.8364, 5.8364 Å; angles 90.00, 90.00, 90.00 degrees
Closest atoms and distances in Å follow each position.
Fractional coordinates of all 16 atoms:
Cr 0.0000 0.0000 0.0000  8 Cu 2.53
Cr 0.0000 0.5000 0.5000  8 Cu 2.53
Cr 0.5000 0.0000 0.5000  8 Cu 2.53
Cr 0.5000 0.5000 0.0000  8 Cu 2.53
Cu 0.2500 0.2500 0.2500  4 Cr 2.53, 4 Ru 2.53
Cu 0.2500 0.2500 0.7500  4 Cr 2.53, 4 Ru 2.53
Cu 0.2500 0.7500 0.2500  4 Cr 2.53, 4 Ru 2.53
Cu 0.2500 0.7500 0.7500  4 Cr 2.53, 4 Ru 2.53
Cu 0.7500 0.2500 0.2500  4 Cr 2.53, 4 Ru 2.53
Cu 0.7500 0.2500 0.7500  4 Cr 2.53, 4 Ru 2.53
Cu 0.7500 0.7500 0.2500  4 Cr 2.53, 4 Ru 2.53
Cu 0.7500 0.7500 0.7500  4 Cr 2.53, 4 Ru 2.53
Ru 0.0000 0.0000 0.5000  8 Cu 2.53
Ru 0.0000 0.5000 0.0000  8 Cu 2.53
Ru 0.5000 0.0000 0.0000  8 Cu 2.53
Ru 0.5000 0.5000 0.5000  8 Cu 2.53

Its formation energy is 293.0 meV per atom.


Compound: CrCu2Ru
Source: Alexandria via LeMat-Bulk
Functional: meta-GGA SCAN
Structure: PBEsol geometry

Cell lengths 3.4463, 3.4463, 8.0410 Å; angles 90.00, 90.00, 90.00 degrees
Closest atoms and distances in Å follow each position.
Fractional coordinates of all 8 atoms:
Cr 0.0000 0.0000 0.0000  4 Ru 2.44, 8 Cu 2.65
Cr 0.5000 0.5000 0.5000  4 Ru 2.44, 8 Cu 2.65
Cu 0.0000 0.5000 0.2500  4 Cu 2.44, 4 Cr 2.65, 4 Ru 2.65
Cu 0.0000 0.5000 0.7500  4 Cu 2.44, 4 Cr 2.65, 4 Ru 2.65
Cu 0.5000 0.0000 0.2500  4 Cu 2.44, 4 Cr 2.65, 4 Ru 2.65
Cu 0.5000 0.0000 0.7500  4 Cu 2.44, 4 Cr 2.65, 4 Ru 2.65
Ru 0.0000 0.0000 0.5000  4 Cr 2.44, 8 Cu 2.65
Ru 0.5000 0.5000 0.0000  4 Cr 2.44, 8 Cu 2.65

Its formation energy is 166.9 meV per atom.


Compound: CrCu2Ru
Source: Alexandria via LeMat-Bulk
Functional: meta-GGA SCAN
Structure: PBEsol geometry

Cell lengths 8.7638, 2.5727, 4.3190 Å; angles 90.00, 100.40, 90.00 degrees
Closest atoms and distances in Å follow each position.
Fractional coordinates of all 8 atoms:
Cr 0.0000 0.0000 0.0000  4 Ru 2.51, 2 Cr 2.57, 6 Cu 2.59-2.61
Cr 0.5000 0.5000 0.0000  4 Ru 2.51, 2 Cr 2.57, 6 Cu 2.59-2.61
Cu 0.2493 0.5000 0.2460  6 Cu 2.49-2.57, 3 Cr 2.59-2.61, 3 Ru 2.61-2.62
Cu 0.2507 0.0000 0.7540  6 Cu 2.49-2.57, 3 Cr 2.59-2.61, 3 Ru 2.61-2.62
Cu 0.7493 0.0000 0.2460  6 Cu 2.49-2.57, 3 Cr 2.59-2.61, 3 Ru 2.61-2.62
Cu 0.7507 0.5000 0.7540  6 Cu 2.49-2.57, 3 Cr 2.59-2.61, 3 Ru 2.61-2.62
Ru 0.0000 0.5000 0.5000  4 Cr 2.51, 2 Ru 2.57, 6 Cu 2.61-2.62
Ru 0.5000 0.0000 0.5000  4 Cr 2.51, 2 Ru 2.57, 6 Cu 2.61-2.62

Its formation energy is 239.1 meV per atom.


Question: What is the formula in the third record?
Answer: Cr2CuRh


Please write out number 8 again, unchanged.
Compound: Cr2CuRh
Source: Alexandria via LeMat-Bulk
Functional: meta-GGA SCAN
Structure: PBEsol geometry

Cell lengths 3.7180, 3.7180, 7.0548 Å; angles 90.00, 90.00, 90.00 degrees
Closest atoms and distances in Å follow each position.
Fractional coordinates of all 8 atoms:
Cr 0.0000 0.0000 0.0000  4 Cr 2.56, 4 Rh 2.56, 4 Cu 2.63
Cr 0.0000 0.5000 0.2500  4 Cr 2.56, 4 Cu 2.56, 4 Rh 2.63
Cr 0.5000 0.0000 0.7500  4 Cr 2.56, 4 Cu 2.56, 4 Rh 2.63
Cr 0.5000 0.5000 0.5000  4 Cr 2.56, 4 Rh 2.56, 4 Cu 2.63
Cu 0.0000 0.0000 0.5000  8 Cr 2.56-2.63, 4 Rh 2.56
Cu 0.5000 0.5000 0.0000  8 Cr 2.56-2.63, 4 Rh 2.56
Rh 0.0000 0.5000 0.7500  8 Cr 2.56-2.63, 4 Cu 2.56
Rh 0.5000 0.0000 0.2500  8 Cr 2.56-2.63, 4 Cu 2.56

Its formation energy is -8.2 meV per atom.


Please write out number 10 again, unchanged.
Compound: CrCu2Ru
Source: Alexandria via LeMat-Bulk
Functional: meta-GGA SCAN
Structure: PBEsol geometry

Cell lengths 5.8364, 5.8364, 5.8364 Å; angles 90.00, 90.00, 90.00 degrees
Closest atoms and distances in Å follow each position.
Fractional coordinates of all 16 atoms:
Cr 0.0000 0.0000 0.0000  8 Cu 2.53
Cr 0.0000 0.5000 0.5000  8 Cu 2.53
Cr 0.5000 0.0000 0.5000  8 Cu 2.53
Cr 0.5000 0.5000 0.0000  8 Cu 2.53
Cu 0.2500 0.2500 0.2500  4 Cr 2.53, 4 Ru 2.53
Cu 0.2500 0.2500 0.7500  4 Cr 2.53, 4 Ru 2.53
Cu 0.2500 0.7500 0.2500  4 Cr 2.53, 4 Ru 2.53
Cu 0.2500 0.7500 0.7500  4 Cr 2.53, 4 Ru 2.53
Cu 0.7500 0.2500 0.2500  4 Cr 2.53, 4 Ru 2.53
Cu 0.7500 0.2500 0.7500  4 Cr 2.53, 4 Ru 2.53
Cu 0.7500 0.7500 0.2500  4 Cr 2.53, 4 Ru 2.53
Cu 0.7500 0.7500 0.7500  4 Cr 2.53, 4 Ru 2.53
Ru 0.0000 0.0000 0.5000  8 Cu 2.53
Ru 0.0000 0.5000 0.0000  8 Cu 2.53
Ru 0.5000 0.0000 0.0000  8 Cu 2.53
Ru 0.5000 0.5000 0.5000  8 Cu 2.53

Its formation energy is 293.0 meV per atom.


Copy entry 3 word for word.
Compound: Cr2CuRh
Source: Alexandria via LeMat-Bulk
Functional: meta-GGA SCAN
Structure: PBEsol geometry

Cell lengths 2.9182, 2.9182, 5.6700 Å; angles 90.00, 90.00, 90.00 degrees
Closest atoms and distances in Å follow each position.
Fractional coordinates of all 4 atoms:
Cr 0.0000 0.0000 0.0000  4 Cr 2.41, 4 Rh 2.56, 1 Cu 2.64
Cr 0.5000 0.5000 0.2204  4 Cr 2.41, 4 Cu 2.49
Cu 0.0000 0.0000 0.4651  5 Cr 2.49-2.64, 4 Rh 2.56
Rh 0.5000 0.5000 0.7324  4 Cu 2.56, 5 Cr 2.56-2.77

Its formation energy is 5.2 meV per atom.